PrLuGe2Ir | PBE | optimized geometry

a = 5.8078 Å, b = 5.8078 Å, c = 10.4967 Å
α = 115.38°, β = 115.38°, γ = 43.40°
Element x y z (fractional)
Ge  0.4768  0.4768  0.1098
Ge  0.3427  0.3427  0.4447
Ge  0.6573  0.6573  0.5553
Ge  0.5232  0.5232  0.8902
Ir  0.7223  0.7223  0.3265
Ir  0.2777  0.2777  0.6735
Lu  0.1851  0.1851  0.1189
Lu  0.8149  0.8149  0.8811
Pr  0.0020  0.0020  0.3256
Pr  0.9980  0.9980  0.6744

Computed properties:
Total DFT energy (no corrections), eV/atom: -6.3218
M_tot, μB/f.u.: 0.00
SG: C2/m


LuGe2IrPt | PBE | optimized geometry

a = 4.1198 Å, b = 4.1198 Å, c = 10.6739 Å
α = 90.00°, β = 90.00°, γ = 90.00°
Element x y z (fractional)
Ge  0.5000  0.0000  0.1294
Ge  0.0000  0.0000  0.5000
Ge  0.5000  0.5000  0.5000
Ge  0.0000  0.5000  0.8706
Ir  0.0000  0.0000  0.0000
Ir  0.5000  0.5000  0.0000
Lu  0.0000  0.5000  0.2390
Lu  0.5000  0.0000  0.7610
Pt  0.5000  0.0000  0.3555
Pt  0.0000  0.5000  0.6445

Computed properties:
Total DFT energy (no corrections), eV/atom: -6.5224
M_tot, μB/f.u.: 0.00
SG: P4/nmm


SmLuGe2Ir | PBE | optimized geometry

a = 5.6747 Å, b = 5.6747 Å, c = 10.2833 Å
α = 114.51°, β = 114.51°, γ = 44.78°
Element x y z (fractional)
Ge  0.4827  0.4827  0.1206
Ge  0.3565  0.3565  0.4480
Ge  0.6435  0.6435  0.5520
Ge  0.5173  0.5173  0.8794
Ir  0.7325  0.7325  0.3426
Ir  0.2675  0.2675  0.6574
Lu  0.0110  0.0110  0.3334
Lu  0.9890  0.9890  0.6666
Sm  0.1916  0.1916  0.1179
Sm  0.8084  0.8084  0.8821

Computed properties:
Total DFT energy (no corrections), eV/atom: -6.3573
M_tot, μB/f.u.: 0.00
SG: C2/m


TbLuGe2Ir | PBE | optimized geometry

a = 5.6630 Å, b = 5.6630 Å, c = 10.2746 Å
α = 114.81°, β = 114.81°, γ = 44.36°
Element x y z (fractional)
Ge  0.4773  0.4773  0.1132
Ge  0.3521  0.3521  0.4466
Ge  0.6479  0.6479  0.5534
Ge  0.5227  0.5227  0.8868
Ir  0.7273  0.7273  0.3313
Ir  0.2727  0.2727  0.6687
Lu  0.1889  0.1889  0.1188
Lu  0.8111  0.8111  0.8812
Tb  0.0068  0.0068  0.3277
Tb  0.9932  0.9932  0.6723

Computed properties:
Total DFT energy (no corrections), eV/atom: -6.3581
M_tot, μB/f.u.: 0.01
Energy above the most stable polymorph in this dataset, meV per atom: 4.1
SG: C2/m


TbLuGe2Ir | PBE | optimized geometry

a = 5.6355 Å, b = 5.6355 Å, c = 10.2215 Å
α = 114.42°, β = 114.42°, γ = 44.84°
Element x y z (fractional)
Ge  0.4799  0.4799  0.1178
Ge  0.3559  0.3559  0.4479
Ge  0.6441  0.6441  0.5521
Ge  0.5201  0.5201  0.8822
Ir  0.7307  0.7307  0.3388
Ir  0.2693  0.2693  0.6612
Lu  0.0100  0.0100  0.3319
Lu  0.9900  0.9900  0.6681
Tb  0.1908  0.1908  0.1182
Tb  0.8092  0.8092  0.8818

Computed properties:
Total DFT energy (no corrections), eV/atom: -6.3622
M_tot, μB/f.u.: 0.00
Energy above the most stable polymorph in this dataset, meV per atom: 0.0
SG: C2/m


TmLuGe2Ir | PBE | optimized geometry

a = 5.5864 Å, b = 5.5864 Å, c = 10.1511 Å
α = 114.31°, β = 114.31°, γ = 44.94°
Element x y z (fractional)
Ge  0.4767  0.4767  0.1151
Ge  0.3552  0.3552  0.4475
Ge  0.6448  0.6448  0.5525
Ge  0.5233  0.5233  0.8849
Ir  0.7284  0.7284  0.3351
Ir  0.2716  0.2716  0.6649
Lu  0.0084  0.0084  0.3299
Lu  0.9916  0.9916  0.6701
Tm  0.1896  0.1896  0.1182
Tm  0.8104  0.8104  0.8818

Computed properties:
Total DFT energy (no corrections), eV/atom: -6.3322
M_tot, μB/f.u.: 0.00
SG: C2/m


TmLuGe2Ir | PBE | optimized geometry

a = 5.5936 Å, b = 5.5936 Å, c = 10.1582 Å
α = 114.49°, β = 114.49°, γ = 44.77°
Element x y z (fractional)
Ge  0.6456  0.6456  0.0530
Ge  0.5232  0.5232  0.3854
Ge  0.4768  0.4768  0.6146
Ge  0.3544  0.3544  0.9470
Ir  0.2721  0.2721  0.1660
Ir  0.7279  0.7279  0.8340
Lu  0.8106  0.8106  0.3814
Lu  0.1894  0.1894  0.6186
Tm  0.9919  0.9919  0.1706
Tm  0.0081  0.0081  0.8294

Computed properties:
Total DFT energy (no corrections), eV/atom: -6.3312
M_tot, μB/f.u.: 0.00
SG: C2/m


YLuGe2Ir | PBE | optimized geometry

a = 5.6625 Å, b = 5.6625 Å, c = 10.2491 Å
α = 114.72°, β = 114.72°, γ = 44.43°
Element x y z (fractional)
Ge  0.4772  0.4772  0.1134
Ge  0.3522  0.3522  0.4463
Ge  0.6478  0.6478  0.5537
Ge  0.5228  0.5228  0.8866
Ir  0.7270  0.7270  0.3319
Ir  0.2730  0.2730  0.6681
Lu  0.1889  0.1889  0.1184
Lu  0.8111  0.8111  0.8816
Y  0.0066  0.0066  0.3278
Y  0.9934  0.9934  0.6722

Computed properties:
Total DFT energy (no corrections), eV/atom: -6.7300
M_tot, μB/f.u.: 0.01
Energy above the most stable polymorph in this dataset, meV per atom: 7.0
SG: C2/m


YLuGe2Ir | PBE | optimized geometry

a = 5.6280 Å, b = 5.6280 Å, c = 10.2104 Å
α = 114.52°, β = 114.52°, γ = 44.90°
Element x y z (fractional)
Ge  0.4792  0.4792  0.1177
Ge  0.3553  0.3553  0.4477
Ge  0.6447  0.6447  0.5523
Ge  0.5208  0.5208  0.8823
Ir  0.7299  0.7299  0.3385
Ir  0.2701  0.2701  0.6615
Lu  0.0094  0.0094  0.3319
Lu  0.9906  0.9906  0.6681
Y  0.1901  0.1901  0.1171
Y  0.8099  0.8099  0.8829

Computed properties:
Total DFT energy (no corrections), eV/atom: -6.7370
M_tot, μB/f.u.: 0.00
Energy above the most stable polymorph in this dataset, meV per atom: 0.0
SG: C2/m


MgGeIr2 | PBE | optimized geometry

a = 4.5582 Å, b = 4.5582 Å, c = 7.3998 Å
α = 90.00°, β = 90.00°, γ = 120.00°
Element x y z (fractional)
Ge  0.6667  0.3333  0.2500
Ge  0.3333  0.6667  0.7500
Ir  0.3333  0.6667  0.0748
Ir  0.3333  0.6667  0.4252
Ir  0.6667  0.3333  0.5748
Ir  0.6667  0.3333  0.9252
Mg  0.0000  0.0000  0.2500
Mg  0.0000  0.0000  0.7500

Computed properties:
Total DFT energy (no corrections), eV/atom: -5.8107
M_tot, μB/f.u.: 0.87
SG: P6_3/mmc


MgGeIr2 | PBE | optimized geometry

a = 4.5402 Å, b = 4.5402 Å, c = 7.5140 Å
α = 90.00°, β = 90.00°, γ = 120.00°
Element x y z (fractional)
Ge  0.3333  0.6667  0.2500
Ge  0.6667  0.3333  0.7500
Ir  0.6667  0.3333  0.0842
Ir  0.6667  0.3333  0.4158
Ir  0.3333  0.6667  0.5842
Ir  0.3333  0.6667  0.9158
Mg  0.0000  0.0000  0.0000
Mg  0.0000  0.0000  0.5000

Computed properties:
Total DFT energy (no corrections), eV/atom: -5.9876
M_tot, μB/f.u.: 0.62
SG: P6_3/mmc


MgGeIr2 | PBE | optimized geometry

a = 4.4427 Å, b = 4.4427 Å, c = 4.4427 Å
α = 60.00°, β = 60.00°, γ = 60.00°
Element x y z (fractional)
Ge  0.5000  0.5000  0.5000
Ir  0.0000  0.0000  0.0000
Ir  0.7500  0.7500  0.7500
Mg  0.2500  0.2500  0.2500

Computed properties:
Total DFT energy (no corrections), eV/atom: -5.9036
M_tot, μB/f.u.: 0.04
SG: F-43m


MgGeIr2 | PBE | optimized geometry

a = 5.5145 Å, b = 8.0381 Å, c = 5.5119 Å
α = 90.00°, β = 90.00°, γ = 90.00°
Element x y z (fractional)
Ge  0.4365  0.2500  0.0896
Ge  0.9365  0.7500  0.4104
Ge  0.0635  0.2500  0.5896
Ge  0.5635  0.7500  0.9104
Ir  0.6780  0.5162  0.1845
Ir  0.6780  0.9838  0.1845
Ir  0.1780  0.0162  0.3155
Ir  0.1780  0.4838  0.3155
Ir  0.8220  0.5162  0.6845
Ir  0.8220  0.9838  0.6845
Ir  0.3220  0.0162  0.8155
Ir  0.3220  0.4838  0.8155
Mg  0.9355  0.2500  0.0485
Mg  0.4355  0.7500  0.4515
Mg  0.5645  0.2500  0.5485
Mg  0.0645  0.7500  0.9515

Computed properties:
Total DFT energy (no corrections), eV/atom: -6.2872
M_tot, μB/f.u.: 0.00
SG: Pnma


MgGeIr2 | PBE | optimized geometry

a = 3.0098 Å, b = 3.0098 Å, c = 6.5862 Å
α = 90.00°, β = 90.00°, γ = 90.00°
Element x y z (fractional)
Ge  0.0000  0.0000  0.0000
Ir  0.5000  0.5000  0.2270
Ir  0.5000  0.5000  0.7730
Mg  0.0000  0.0000  0.5000

Computed properties:
Total DFT energy (no corrections), eV/atom: -6.2832
M_tot, μB/f.u.: 0.01
SG: P4/mmm


Mg2Ge2Ir | PBE | optimized geometry

a = 6.4341 Å, b = 6.4341 Å, c = 4.1948 Å
α = 90.00°, β = 90.00°, γ = 90.00°
Element x y z (fractional)
Ge  0.6359  0.1359  0.0000
Ge  0.1359  0.3641  0.0000
Ge  0.8641  0.6359  0.0000
Ge  0.3641  0.8641  0.0000
Ir  0.0000  0.0000  0.0000
Ir  0.5000  0.5000  0.0000
Mg  0.3230  0.1770  0.5000
Mg  0.8230  0.3230  0.5000
Mg  0.1770  0.6770  0.5000
Mg  0.6770  0.8230  0.5000

Computed properties:
Total DFT energy (no corrections), eV/atom: -4.5926
M_tot, μB/f.u.: 0.00
SG: P4/mbm


MgGeIr2 | PBE | optimized geometry

a = 4.2472 Å, b = 4.2472 Å, c = 8.3527 Å
α = 90.00°, β = 90.00°, γ = 120.00°
Element x y z (fractional)
Ge  0.0000  0.0000  0.0000
Ge  0.0000  0.0000  0.5000
Ir  0.6667  0.3333  0.0869
Ir  0.6667  0.3333  0.4131
Ir  0.3333  0.6667  0.5869
Ir  0.3333  0.6667  0.9131
Mg  0.3333  0.6667  0.2500
Mg  0.6667  0.3333  0.7500

Computed properties:
Total DFT energy (no corrections), eV/atom: -6.2229
M_tot, μB/f.u.: 0.02
SG: P6_3/mmc


MgGeIr5 | PBE | optimized geometry

a = 3.9650 Å, b = 3.9650 Å, c = 6.8984 Å
α = 90.00°, β = 90.00°, γ = 90.00°
Element x y z (fractional)
Ge  0.5000  0.5000  0.5000
Ir  0.5000  0.5000  0.0000
Ir  0.5000  0.0000  0.2738
Ir  0.0000  0.5000  0.2738
Ir  0.5000  0.0000  0.7262
Ir  0.0000  0.5000  0.7262
Mg  0.0000  0.0000  0.0000

Computed properties:
Total DFT energy (no corrections), eV/atom: -7.1772
M_tot, μB/f.u.: 0.03
SG: P4/mmm


MgGe2Ir | PBE | optimized geometry

a = 4.5425 Å, b = 4.5425 Å, c = 4.5425 Å
α = 60.00°, β = 60.00°, γ = 60.00°
Element x y z (fractional)
Ge  0.0000  0.0000  0.0000
Ge  0.7500  0.7500  0.7500
Ir  0.2500  0.2500  0.2500
Mg  0.5000  0.5000  0.5000

Computed properties:
Total DFT energy (no corrections), eV/atom: -4.8928
M_tot, μB/f.u.: 0.00
SG: F-43m


NaMg4Ge2Ir | PBE | optimized geometry

a = 4.5149 Å, b = 4.5149 Å, c = 8.9380 Å
α = 90.00°, β = 90.00°, γ = 120.00°
Element x y z (fractional)
Ge  0.6667  0.3333  0.0000
Ge  0.6667  0.3333  0.5000
Ir  0.0000  0.0000  0.0000
Mg  0.3333  0.6667  0.1508
Mg  0.0000  0.0000  0.3228
Mg  0.0000  0.0000  0.6772
Mg  0.3333  0.6667  0.8492
Na  0.3333  0.6667  0.5000

Computed properties:
Total DFT energy (no corrections), eV/atom: -3.2680
M_tot, μB/f.u.: 0.04
SG: P-6m2


Mg4SiGeIr2 | PBE | optimized geometry

a = 4.2533 Å, b = 4.2533 Å, c = 8.7804 Å
α = 90.00°, β = 90.00°, γ = 120.00°
Element x y z (fractional)
Ge  0.0000  0.0000  0.0000
Ir  0.6667  0.3333  0.0000
Ir  0.3333  0.6667  0.5000
Mg  0.3333  0.6667  0.1698
Mg  0.6667  0.3333  0.3334
Mg  0.6667  0.3333  0.6666
Mg  0.3333  0.6667  0.8302
Si  0.0000  0.0000  0.5000

Computed properties:
Total DFT energy (no corrections), eV/atom: -4.7774
M_tot, μB/f.u.: 0.00
SG: P-6m2